Below is a relaxed structure of Cu4I5Cl, with properties calculated at the PBE level.

```
data_Cu4I5Cl
_chemical_formula_sum 'Cu8 I10 Cl2'
_cell_length_a 7.796
_cell_length_b 11.839
_cell_length_c 6.646
_cell_angle_alpha 90.00
_cell_angle_beta 90.00
_cell_angle_gamma 90.00
_symmetry_space_group_name_H-M 'P m m n'
_symmetry_Int_Tables_number 59
loop_
_symmetry_equiv_pos_as_xyz
'x,y,z'
'-x,-y,-z'
'-x+1/2,-y+1/2,z'
'x+1/2,y+1/2,-z'
'x+1/2,-y,-z'
'-x+1/2,y,z'
'-x,y+1/2,-z'
'x,-y+1/2,z'
loop_
_atom_site_label
_atom_site_fract_x
_atom_site_fract_y
_atom_site_fract_z
_atom_site_occupancy
Cu1 0.014 0.250 0.019 1
Cu2 0.250 0.535 0.462 1
I1 0.000 0.081 0.277 1
I2 0.250 0.750 0.221 1
Cl1 0.250 0.250 0.826 1
```

Summary:
As for the density: 5.00 g/cm³. The calculation puts the formation energy without anion corrections at -0.156 eV/atom.

---

Below is a relaxed structure of MnNb2CdIn, with properties calculated at the PBE level.

```
data_MnNb2CdIn
_chemical_formula_sum 'Mn1 Nb2 Cd1 In1'
_cell_length_a 5.066
_cell_length_b 5.066
_cell_length_c 4.637
_cell_angle_alpha 90.00
_cell_angle_beta 90.00
_cell_angle_gamma 90.00
_symmetry_space_group_name_H-M 'P 4/m m m'
_symmetry_Int_Tables_number 123
_symmetry_space_group_name_Hall '-P 4 2'
loop_
_atom_site_label
_atom_site_fract_x
_atom_site_fract_y
_atom_site_fract_z
_atom_site_occupancy
Mn1 0.000 0.000 0.000 1
Nb1 0.000 0.500 0.500 1
Cd1 0.500 0.500 0.000 1
In1 0.000 0.000 0.500 1
```

Summary:
As for the density: 6.53 g/cm³. The calculation puts the energy of formation at 1.8136 eV/atom.

---

Below is a relaxed structure of Tm4MgAu2, with properties calculated at the PBE level.

```
data_Tm4MgAu2
_chemical_formula_sum 'Tm12 Mg3 Au6'
_cell_length_a 4.9331
_cell_length_b 4.9331
_cell_length_c 27.2502
_cell_angle_alpha 90.00
_cell_angle_beta 90.00
_cell_angle_gamma 120.00
_symmetry_space_group_name_H-M 'R -3 m'
_symmetry_Int_Tables_number 166
_symmetry_space_group_name_Hall '-R 3 2"'
loop_
_atom_site_label
_atom_site_fract_x
_atom_site_fract_y
_atom_site_fract_z
_atom_site_occupancy
Tm1 0.0000 0.0000 0.1121 1
Tm2 0.0000 0.0000 0.2954 1
Mg1 0.0000 0.0000 0.5000 1
Au1 0.0000 0.0000 0.4014 1
```

Summary:
As for the density: 9.49 g/cm³. The calculation puts the energy of formation at -0.3633 eV/atom.

---

Below is a relaxed structure of In2HgW, with properties calculated at the PBE level.

```
data_In2HgW
_chemical_formula_sum 'In2 Hg1 W1'
_cell_length_a 2.963
_cell_length_b 5.251
_cell_length_c 5.404
_cell_angle_alpha 90.00
_cell_angle_beta 90.00
_cell_angle_gamma 90.00
_symmetry_space_group_name_H-M 'P m m m'
_symmetry_Int_Tables_number 47
loop_
_symmetry_equiv_pos_as_xyz
'x,y,z'
'-x,-y,-z'
'-x,-y,z'
'x,y,-z'
'x,-y,-z'
'-x,y,z'
'-x,y,-z'
'x,-y,z'
loop_
_atom_site_label
_atom_site_fract_x
_atom_site_fract_y
_atom_site_fract_z
_atom_site_occupancy
In1 0.000 0.000 0.000 1
In2 0.500 0.000 0.500 1
Hg1 0.000 0.500 0.500 1
W1 0.500 0.500 0.000 1
```

Summary:
As for the density: 12.13 g/cm³. The calculation puts the energy of formation at 0.6725 eV/atom.